Density functional theory data (PBE) for a geometry-optimized DyTmZn6 structure.

Results
Symmetry   P4/mmm
Formation energy   -0.287 eV/atom

CIF file:
```
data_DyTmZn6
_space_group_name_H-M_alt 'P 1'
_space_group_IT_number 1
_cell_length_a 4.643
_cell_length_b 4.643
_cell_length_c 6.577
_cell_angle_alpha 90.00
_cell_angle_beta 90.00
_cell_angle_gamma 90.00
loop_
_space_group_symop_operation_xyz
'x,y,z'
loop_
_atom_site_label
_atom_site_type_symbol
_atom_site_fract_x
_atom_site_fract_y
_atom_site_fract_z
_atom_site_occupancy
Dy1 Dy 0.000 0.000 0.000 1
Tm1 Tm 0.500 0.500 0.500 1
Zn1 Zn 0.000 0.000 0.500 1
Zn2 Zn 0.000 0.500 0.253 1
Zn3 Zn 0.000 0.500 0.747 1
Zn4 Zn 0.500 0.000 0.253 1
Zn5 Zn 0.500 0.000 0.747 1
Zn6 Zn 0.500 0.500 0.000 1
```

=====

Density functional theory data (PBE) for a geometry-optimized DyTmZn structure.

Results
Symmetry   F-43m
E above lowest polymorph   0.0 meV/atom
Formation energy   0.016 eV/atom

CIF file:
```
data_DyTmZn
_space_group_name_H-M_alt 'P 1'
_space_group_IT_number 1
_cell_length_a 4.898
_cell_length_b 4.898
_cell_length_c 4.898
_cell_angle_alpha 60.00
_cell_angle_beta 60.00
_cell_angle_gamma 60.00
loop_
_space_group_symop_operation_xyz
'x,y,z'
loop_
_atom_site_label
_atom_site_type_symbol
_atom_site_fract_x
_atom_site_fract_y
_atom_site_fract_z
_atom_site_occupancy
Dy1 Dy 0.000 0.000 0.000 1
Tm1 Tm 0.500 0.500 0.500 1
Zn1 Zn 0.250 0.250 0.250 1
```

=====

Density functional theory data (PBE) for a geometry-optimized DyTmZr structure.

Results
Symmetry   F-43m
Formation energy   0.933 eV/atom

CIF file:
```
data_DyTmZr
_space_group_name_H-M_alt 'P 1'
_space_group_IT_number 1
_cell_length_a 5.141
_cell_length_b 5.141
_cell_length_c 5.141
_cell_angle_alpha 60.00
_cell_angle_beta 60.00
_cell_angle_gamma 60.00
loop_
_space_group_symop_operation_xyz
'x,y,z'
loop_
_atom_site_label
_atom_site_type_symbol
_atom_site_fract_x
_atom_site_fract_y
_atom_site_fract_z
_atom_site_occupancy
Dy1 Dy 0.000 0.000 0.000 1
Tm1 Tm 0.250 0.250 0.250 1
Zr1 Zr 0.500 0.500 0.500 1
```

=====

Density functional theory data (PBE) for a geometry-optimized DyU structure.

Results
Symmetry   F-43m
E above lowest polymorph   2007.8 meV/atom
Formation energy   2.472 eV/atom

CIF file:
```
data_DyU
_space_group_name_H-M_alt 'P 1'
_space_group_IT_number 1
_cell_length_a 4.337
_cell_length_b 4.337
_cell_length_c 4.337
_cell_angle_alpha 60.00
_cell_angle_beta 60.00
_cell_angle_gamma 60.00
loop_
_space_group_symop_operation_xyz
'x,y,z'
loop_
_atom_site_label
_atom_site_type_symbol
_atom_site_fract_x
_atom_site_fract_y
_atom_site_fract_z
_atom_site_occupancy
Dy1 Dy 0.000 0.000 0.000 1
U1 U 0.750 0.750 0.750 1
```

=====

Density functional theory data (PBE) for a geometry-optimized DyU structure.

Results
Symmetry   Fm-3m
E above lowest polymorph   1005.2 meV/atom
Formation energy   1.469 eV/atom

CIF file:
```
data_DyU
_space_group_name_H-M_alt 'P 1'
_space_group_IT_number 1
_cell_length_a 4.379
_cell_length_b 4.379
_cell_length_c 4.379
_cell_angle_alpha 60.00
_cell_angle_beta 60.00
_cell_angle_gamma 60.00
loop_
_space_group_symop_operation_xyz
'x,y,z'
loop_
_atom_site_label
_atom_site_type_symbol
_atom_site_fract_x
_atom_site_fract_y
_atom_site_fract_z
_atom_site_occupancy
Dy1 Dy 0.000 0.000 0.000 1
U1 U 0.500 0.500 0.500 1
```

=====

Density functional theory data (PBE) for a geometry-optimized DyU structure.

Results
Symmetry   P-6m2
E above lowest polymorph   0.0 meV/atom
Formation energy   0.464 eV/atom

CIF file:
```
data_DyU
_space_group_name_H-M_alt 'P 1'
_space_group_IT_number 1
_cell_length_a 3.210
_cell_length_b 3.210
_cell_length_c 5.754
_cell_angle_alpha 90.00
_cell_angle_beta 90.00
_cell_angle_gamma 120.00
loop_
_space_group_symop_operation_xyz
'x,y,z'
loop_
_atom_site_label
_atom_site_type_symbol
_atom_site_fract_x
_atom_site_fract_y
_atom_site_fract_z
_atom_site_occupancy
Dy1 Dy 0.000 0.000 0.000 1
U1 U 0.667 0.333 0.500 1
```

=====

Density functional theory data (PBE) for a geometry-optimized DyUW structure.

Results
Symmetry   F-43m
E above lowest polymorph   0.0 meV/atom
Formation energy   0.896 eV/atom

CIF file:
```
data_DyUW
_space_group_name_H-M_alt 'P 1'
_space_group_IT_number 1
_cell_length_a 4.773
_cell_length_b 4.773
_cell_length_c 4.773
_cell_angle_alpha 60.00
_cell_angle_beta 60.00
_cell_angle_gamma 60.00
loop_
_space_group_symop_operation_xyz
'x,y,z'
loop_
_atom_site_label
_atom_site_type_symbol
_atom_site_fract_x
_atom_site_fract_y
_atom_site_fract_z
_atom_site_occupancy
Dy1 Dy 0.000 0.000 0.000 1
U1 U 0.500 0.500 0.500 1
W1 W 0.750 0.750 0.750 1
```

=====

Density functional theory data (PBE) for a geometry-optimized Dy2W structure.

Results
Symmetry   Fd-3m
Formation energy   1.312 eV/atom

CIF file:
```
data_Dy2W
_space_group_name_H-M_alt 'P 1'
_space_group_IT_number 1
_cell_length_a 5.860
_cell_length_b 5.860
_cell_length_c 5.860
_cell_angle_alpha 60.00
_cell_angle_beta 60.00
_cell_angle_gamma 60.00
loop_
_space_group_symop_operation_xyz
'x,y,z'
loop_
_atom_site_label
_atom_site_type_symbol
_atom_site_fract_x
_atom_site_fract_y
_atom_site_fract_z
_atom_site_occupancy
Dy1 Dy 0.000 0.000 0.000 1
Dy2 Dy 0.000 0.000 0.500 1
Dy3 Dy 0.000 0.500 0.000 1
Dy4 Dy 0.500 0.000 0.000 1
W1 W 0.375 0.375 0.375 1
W2 W 0.625 0.625 0.625 1
```

=====

Density functional theory data (PBE) for a geometry-optimized DyYW structure.

Results
Symmetry   F-43m
Formation energy   1.448 eV/atom

CIF file:
```
data_DyYW
_space_group_name_H-M_alt 'P 1'
_space_group_IT_number 1
_cell_length_a 4.898
_cell_length_b 4.898
_cell_length_c 4.898
_cell_angle_alpha 60.00
_cell_angle_beta 60.00
_cell_angle_gamma 60.00
loop_
_space_group_symop_operation_xyz
'x,y,z'
loop_
_atom_site_label
_atom_site_type_symbol
_atom_site_fract_x
_atom_site_fract_y
_atom_site_fract_z
_atom_site_occupancy
Dy1 Dy 0.000 0.000 0.000 1
Y1 Y 0.250 0.250 0.250 1
W1 W 0.750 0.750 0.750 1
```

=====

Density functional theory data (PBE) for a geometry-optimized DyZnW structure.

Results
Symmetry   F-43m
Formation energy   0.797 eV/atom

CIF file:
```
data_DyZnW
_space_group_name_H-M_alt 'P 1'
_space_group_IT_number 1
_cell_length_a 4.488
_cell_length_b 4.488
_cell_length_c 4.488
_cell_angle_alpha 60.00
_cell_angle_beta 60.00
_cell_angle_gamma 60.00
loop_
_space_group_symop_operation_xyz
'x,y,z'
loop_
_atom_site_label
_atom_site_type_symbol
_atom_site_fract_x
_atom_site_fract_y
_atom_site_fract_z
_atom_site_occupancy
Dy1 Dy 0.000 0.000 0.000 1
Zn1 Zn 0.250 0.250 0.250 1
W1 W 0.500 0.500 0.500 1
```

=====

Density functional theory data (PBE) for a geometry-optimized Dy5Y3 structure.

Results
Symmetry   P-6m2
Formation energy   0.006 eV/atom

CIF file:
```
data_Dy5Y3
_space_group_name_H-M_alt 'P 1'
_space_group_IT_number 1
_cell_length_a 7.254
_cell_length_b 7.254
_cell_length_c 5.640
_cell_angle_alpha 90.00
_cell_angle_beta 90.00
_cell_angle_gamma 120.00
loop_
_space_group_symop_operation_xyz
'x,y,z'
loop_
_atom_site_label
_atom_site_type_symbol
_atom_site_fract_x
_atom_site_fract_y
_atom_site_fract_z
_atom_site_occupancy
Dy1 Dy 0.000 0.000 0.000 1
Dy2 Dy 0.001 0.501 0.000 1
Dy3 Dy 0.333 0.667 0.500 1
Dy4 Dy 0.499 0.501 0.000 1
Dy5 Dy 0.499 0.999 0.000 1
Y1 Y 0.333 0.166 0.500 1
Y2 Y 0.834 0.166 0.500 1
Y3 Y 0.834 0.667 0.500 1
```

=====

Density functional theory data (PBE) for a geometry-optimized DyY structure.

Results
Symmetry   F-43m
E above lowest polymorph   1954.2 meV/atom
Formation energy   1.959 eV/atom

CIF file:
```
data_DyY
_space_group_name_H-M_alt 'P 1'
_space_group_IT_number 1
_cell_length_a 4.894
_cell_length_b 4.894
_cell_length_c 4.894
_cell_angle_alpha 60.00
_cell_angle_beta 60.00
_cell_angle_gamma 60.00
loop_
_space_group_symop_operation_xyz
'x,y,z'
loop_
_atom_site_label
_atom_site_type_symbol
_atom_site_fract_x
_atom_site_fract_y
_atom_site_fract_z
_atom_site_occupancy
Dy1 Dy 0.000 0.000 0.000 1
Y1 Y 0.750 0.750 0.750 1
```

=====

Density functional theory data (PBE) for a geometry-optimized DyY structure.

Results
Symmetry   P-6m2
E above lowest polymorph   0.3 meV/atom
Formation energy   0.006 eV/atom

CIF file:
```
data_DyY
_space_group_name_H-M_alt 'P 1'
_space_group_IT_number 1
_cell_length_a 3.628
_cell_length_b 3.628
_cell_length_c 5.643
_cell_angle_alpha 90.00
_cell_angle_beta 90.00
_cell_angle_gamma 120.00
loop_
_space_group_symop_operation_xyz
'x,y,z'
loop_
_atom_site_label
_atom_site_type_symbol
_atom_site_fract_x
_atom_site_fract_y
_atom_site_fract_z
_atom_site_occupancy
Dy1 Dy 0.000 0.000 0.000 1
Y1 Y 0.667 0.333 0.500 1
```

=====

Density functional theory data (PBE) for a geometry-optimized Dy3Y5 structure.

Results
Symmetry   Amm2
Formation energy   0.004 eV/atom

CIF file:
```
data_Dy3Y5
_space_group_name_H-M_alt 'P 1'
_space_group_IT_number 1
_cell_length_a 5.653
_cell_length_b 7.268
_cell_length_c 7.268
_cell_angle_alpha 59.99
_cell_angle_beta 90.00
_cell_angle_gamma 90.00
loop_
_space_group_symop_operation_xyz
'x,y,z'
loop_
_atom_site_label
_atom_site_type_symbol
_atom_site_fract_x
_atom_site_fract_y
_atom_site_fract_z
_atom_site_occupancy
Dy1 Dy 0.000 0.000 0.000 1
Dy2 Dy 0.000 0.500 0.500 1
Dy3 Dy 0.500 0.166 0.166 1
Y1 Y 0.000 0.000 0.500 1
Y2 Y 0.000 0.500 0.000 1
Y3 Y 0.500 0.166 0.667 1
Y4 Y 0.500 0.667 0.166 1
Y5 Y 0.500 0.667 0.667 1
```

=====

Density functional theory data (PBE) for a geometry-optimized DyY structure.

Results
Symmetry   Amm2
E above lowest polymorph   0.0 meV/atom
Formation energy   0.005 eV/atom

CIF file:
```
data_DyY
_space_group_name_H-M_alt 'P 1'
_space_group_IT_number 1
_cell_length_a 5.651
_cell_length_b 7.262
_cell_length_c 7.262
_cell_angle_alpha 60.00
_cell_angle_beta 90.00
_cell_angle_gamma 90.00
loop_
_space_group_symop_operation_xyz
'x,y,z'
loop_
_atom_site_label
_atom_site_type_symbol
_atom_site_fract_x
_atom_site_fract_y
_atom_site_fract_z
_atom_site_occupancy
Dy1 Dy 0.000 0.000 0.000 1
Dy2 Dy 0.000 0.000 0.500 1
Dy3 Dy 0.000 0.500 0.000 1
Dy4 Dy 0.500 0.333 0.333 1
Y1 Y 0.000 0.500 0.500 1
Y2 Y 0.500 0.334 0.834 1
Y3 Y 0.500 0.833 0.833 1
Y4 Y 0.500 0.834 0.334 1
```

=====

Density functional theory data (PBE) for a geometry-optimized DyY structure.

Results
Symmetry   Ama2
E above lowest polymorph   0.0 meV/atom
Formation energy   0.005 eV/atom

CIF file:
```
data_DyY
_space_group_name_H-M_alt 'P 1'
_space_group_IT_number 1
_cell_length_a 5.641
_cell_length_b 7.261
_cell_length_c 7.261
_cell_angle_alpha 119.97
_cell_angle_beta 90.00
_cell_angle_gamma 90.00
loop_
_space_group_symop_operation_xyz
'x,y,z'
loop_
_atom_site_label
_atom_site_type_symbol
_atom_site_fract_x
_atom_site_fract_y
_atom_site_fract_z
_atom_site_occupancy
Dy1 Dy 0.250 0.082 0.414 1
Dy2 Dy 0.250 0.083 0.917 1
Dy3 Dy 0.750 0.414 0.082 1
Dy4 Dy 0.750 0.917 0.083 1
Y1 Y 0.250 0.582 0.414 1
Y2 Y 0.250 0.583 0.917 1
Y3 Y 0.750 0.414 0.582 1
Y4 Y 0.750 0.917 0.583 1
```

=====

Density functional theory data (PBE) for a geometry-optimized DyY structure.

Results
Symmetry   Fm-3m
E above lowest polymorph   780.2 meV/atom
Formation energy   0.785 eV/atom

CIF file:
```
data_DyY
_space_group_name_H-M_alt 'P 1'
_space_group_IT_number 1
_cell_length_a 4.591
_cell_length_b 4.591
_cell_length_c 4.591
_cell_angle_alpha 60.00
_cell_angle_beta 60.00
_cell_angle_gamma 60.00
loop_
_space_group_symop_operation_xyz
'x,y,z'
loop_
_atom_site_label
_atom_site_type_symbol
_atom_site_fract_x
_atom_site_fract_y
_atom_site_fract_z
_atom_site_occupancy
Dy1 Dy 0.000 0.000 0.000 1
Y1 Y 0.500 0.500 0.500 1
```

=====

Density functional theory data (PBE) for a geometry-optimized DyY2 structure.

Results
Symmetry   Fd-3m
E above lowest polymorph   291.0 meV/atom
Formation energy   0.292 eV/atom

CIF file:
```
data_DyY2
_space_group_name_H-M_alt 'P 1'
_space_group_IT_number 1
_cell_length_a 6.587
_cell_length_b 6.587
_cell_length_c 6.587
_cell_angle_alpha 60.00
_cell_angle_beta 60.00
_cell_angle_gamma 60.00
loop_
_space_group_symop_operation_xyz
'x,y,z'
loop_
_atom_site_label
_atom_site_type_symbol
_atom_site_fract_x
_atom_site_fract_y
_atom_site_fract_z
_atom_site_occupancy
Dy1 Dy 0.125 0.125 0.125 1
Dy2 Dy 0.875 0.875 0.875 1
Y1 Y 0.000 0.500 0.500 1
Y2 Y 0.500 0.000 0.500 1
Y3 Y 0.500 0.500 0.000 1
Y4 Y 0.500 0.500 0.500 1
```

=====

Density functional theory data (PBE) for a geometry-optimized DyYZn6 structure.

Results
Symmetry   P4/mmm
Formation energy   -0.295 eV/atom

CIF file:
```
data_DyYZn6
_space_group_name_H-M_alt 'P 1'
_space_group_IT_number 1
_cell_length_a 4.669
_cell_length_b 4.669
_cell_length_c 6.601
_cell_angle_alpha 90.00
_cell_angle_beta 90.00
_cell_angle_gamma 90.00
loop_
_space_group_symop_operation_xyz
'x,y,z'
loop_
_atom_site_label
_atom_site_type_symbol
_atom_site_fract_x
_atom_site_fract_y
_atom_site_fract_z
_atom_site_occupancy
Dy1 Dy 0.000 0.000 0.000 1
Y1 Y 0.500 0.500 0.500 1
Zn1 Zn 0.000 0.000 0.500 1
Zn2 Zn 0.000 0.500 0.249 1
Zn3 Zn 0.000 0.500 0.751 1
Zn4 Zn 0.500 0.000 0.249 1
Zn5 Zn 0.500 0.000 0.751 1
Zn6 Zn 0.500 0.500 0.000 1
```

=====

Density functional theory data (PBE) for a geometry-optimized DyYZn6 structure.

Results
Symmetry   Pmm2
Formation energy   -0.294 eV/atom

CIF file:
```
data_DyYZn6
_space_group_name_H-M_alt 'P 1'
_space_group_IT_number 1
_cell_length_a 4.672
_cell_length_b 6.590
_cell_length_c 4.672
_cell_angle_alpha 90.00
_cell_angle_beta 90.00
_cell_angle_gamma 90.00
loop_
_space_group_symop_operation_xyz
'x,y,z'
loop_
_atom_site_label
_atom_site_type_symbol
_atom_site_fract_x
_atom_site_fract_y
_atom_site_fract_z
_atom_site_occupancy
Dy1 Dy 0.000 0.000 0.000 1
Y1 Y 0.500 0.500 0.508 1
Zn1 Zn 0.000 0.249 0.499 1
Zn2 Zn 0.000 0.500 0.001 1
Zn3 Zn 0.000 0.751 0.499 1
Zn4 Zn 0.500 0.000 0.508 1
Zn5 Zn 0.500 0.249 0.009 1
Zn6 Zn 0.500 0.751 0.009 1
```